(1)
A geometry-optimized SiNi2Ag structure, computed with PBE.

Properties
calculated volume = 12.79 Å³ per atom
ρ = 8.2 Mg/m³
N(E_F) = 0.662 states/eV per atom
E = -4.983 eV/atom

Lattice parameters (Å, degrees): 5.4096 6.7702 2.7940 90.00 90.00 90.00
With the nearest neighbours (Å) after each atom.
Fractional coordinates of all 8 atoms:
Si 0.0000 0.0000 0.0000  8 Ni 2.58, 2 Ag 2.70, 2 Si 2.79
Si 0.5000 0.5000 0.0000  8 Ni 2.58, 2 Ag 2.70, 2 Si 2.79
Ni 0.2500 0.2500 0.5000  4 Si 2.58, 4 Ag 2.58, 4 Ni 2.70-2.79
Ni 0.2500 0.7500 0.5000  4 Si 2.58, 4 Ag 2.58, 4 Ni 2.70-2.79
Ni 0.7500 0.2500 0.5000  4 Si 2.58, 4 Ag 2.58, 4 Ni 2.70-2.79
Ni 0.7500 0.7500 0.5000  4 Ag 2.58, 4 Si 2.58, 4 Ni 2.70-2.79
Ag 0.0000 0.5000 0.0000  8 Ni 2.58, 2 Si 2.70, 2 Ag 2.79
Ag 0.5000 0.0000 0.0000  8 Ni 2.58, 2 Si 2.70, 2 Ag 2.79



(2)
A geometry-optimized Si2NiAg2 structure, computed with PBE.

Properties
calculated volume = 15.59 Å³ per atom
ρ = 7.0 Mg/m³
N(E_F) = 0.300 states/eV per atom
E = -4.424 eV/atom

Lattice parameters (Å, degrees): 5.9625 5.9625 4.3840 90.00 90.00 90.00
With the nearest neighbours (Å) after each atom.
Fractional coordinates of all 10 atoms:
Si 0.1382 0.3618 0.0000  2 Ni 2.31, 1 Si 2.33
Si 0.3618 0.8618 0.0000  2 Ni 2.31, 1 Si 2.33
Si 0.6382 0.1382 0.0000  2 Ni 2.31, 1 Si 2.33
Si 0.8618 0.6382 0.0000  2 Ni 2.31, 1 Si 2.33
Ni 0.0000 0.0000 0.0000  4 Si 2.31
Ni 0.5000 0.5000 0.0000  4 Si 2.31
Ag 0.1889 0.6889 0.5000  2 Si 2.63
Ag 0.3111 0.1889 0.5000  2 Si 2.63
Ag 0.6889 0.8111 0.5000  2 Si 2.63
Ag 0.8111 0.3111 0.5000  2 Si 2.63



(3)
A geometry-optimized SiNi2Ag structure, computed with PBE.

Properties
calculated volume = 13.35 Å³ per atom
ρ = 7.9 Mg/m³
N(E_F) = 1.083 states/eV per atom
E = -4.854 eV/atom

Lattice parameters (Å, degrees): 2.7279 2.7279 24.8579 90.00 90.00 120.00
With the nearest neighbours (Å) after each atom.
Fractional coordinates of all 12 atoms:
Si 0.0000 0.0000 0.0000  3 Ni 2.35
Si 0.3333 0.6667 0.6667  3 Ni 2.35
Si 0.6667 0.3333 0.3333  3 Ni 2.35
Ni 0.0000 0.0000 0.2634  3 Si 2.35, 3 Ni 2.51
Ni 0.0000 0.0000 0.5180  9 Ni 2.51-2.73, 3 Ag 2.74
Ni 0.3333 0.6667 0.1847  9 Ni 2.51-2.73, 3 Ag 2.74
Ni 0.3333 0.6667 0.9301  3 Si 2.35, 3 Ni 2.51
Ni 0.6667 0.3333 0.5968  3 Si 2.35, 3 Ni 2.51
Ni 0.6667 0.3333 0.8514  9 Ni 2.51-2.73, 3 Ag 2.74
Ag 0.0000 0.0000 0.7612  6 Ag 2.73, 3 Ni 2.74, 3 Si 2.83
Ag 0.3333 0.6667 0.4279  6 Ag 2.73, 3 Ni 2.74, 3 Si 2.83
Ag 0.6667 0.3333 0.0945  6 Ag 2.73, 3 Ni 2.74, 3 Si 2.83



(4)
A geometry-optimized SiNi2Ag structure, computed with PBE.

Properties
calculated volume = 12.98 Å³ per atom
ρ = 8.1 Mg/m³
N(E_F) = 0.655 states/eV per atom
E = -5.021 eV/atom

Lattice parameters (Å, degrees): 2.7475 4.0856 4.6254 90.00 90.00 90.00
With the nearest neighbours (Å) after each atom.
Fractional coordinates of all 4 atoms:
Si 0.0000 0.0000 0.0000  6 Ni 2.34-2.49
Ni 0.5000 0.0000 0.4101  2 Si 2.34, 2 Ni 2.54, 4 Ag 2.61
Ni 0.5000 0.5000 0.0845  4 Si 2.49, 4 Ni 2.54-2.75, 4 Ag 2.64-2.74
Ag 0.0000 0.5000 0.5979  8 Ni 2.61-2.74, 2 Ag 2.75, 2 Si 2.76



(5)
A geometry-optimized SiNi3Ag structure, computed with PBE.

Properties
calculated volume = 15.00 Å³ per atom
ρ = 6.9 Mg/m³
N(E_F) = 1.041 states/eV per atom
E = -4.787 eV/atom

Lattice parameters (Å, degrees): 4.2171 4.2171 4.2171 90.00 90.00 90.00
With the nearest neighbours (Å) after each atom.
Fractional coordinates of all 5 atoms:
Si 0.0000 0.0000 0.0000  6 Ni 2.11
Ni 0.0000 0.0000 0.5000  2 Si 2.11
Ni 0.0000 0.5000 0.0000  2 Si 2.11
Ni 0.5000 0.0000 0.0000  2 Si 2.11
Ag 0.5000 0.5000 0.5000  12 Ni 2.98



(6)
A geometry-optimized SiNi2Ag structure, computed with PBE.

Properties
calculated volume = 13.22 Å³ per atom
ρ = 8.0 Mg/m³
N(E_F) = 0.601 states/eV per atom
E = -4.997 eV/atom

Lattice parameters (Å, degrees): 8.3680 2.7595 4.7009 90.00 102.94 90.00
With the nearest neighbours (Å) after each atom.
Fractional coordinates of all 8 atoms:
Si 0.0000 0.0000 0.0000  5 Ni 2.31-2.49
Si 0.5000 0.5000 0.0000  5 Ni 2.31-2.49
Ni 0.0185 0.5000 0.6147  2 Si 2.31, 2 Ni 2.56, 1 Ag 2.57
Ni 0.2696 0.0000 0.8610  3 Si 2.34-2.49, 3 Ni 2.56-2.60
Ni 0.5185 0.0000 0.6147  2 Si 2.31, 2 Ni 2.56, 1 Ag 2.57
Ni 0.7696 0.5000 0.8610  3 Si 2.34-2.49, 3 Ni 2.56-2.60
Ag 0.2544 0.5000 0.3460  7 Ni 2.57-2.76, 2 Si 2.74, 2 Ag 2.76
Ag 0.7544 0.0000 0.3460  7 Ni 2.57-2.76, 2 Si 2.74, 2 Ag 2.76



(7)
A geometry-optimized SiNi2Ag2 structure, computed with PBE.

Properties
calculated volume = 14.63 Å³ per atom
ρ = 8.2 Mg/m³
N(E_F) = 0.526 states/eV per atom
E = -4.557 eV/atom

Lattice parameters (Å, degrees): 5.8018 5.8018 4.3456 90.00 90.00 90.00
With the nearest neighbours (Å) after each atom.
Fractional coordinates of all 10 atoms:
Si 0.0000 0.0000 0.0000  4 Ni 2.23
Si 0.5000 0.5000 0.0000  4 Ni 2.23
Ni 0.1434 0.3566 0.0000  2 Si 2.23, 1 Ni 2.35
Ni 0.3566 0.8566 0.0000  2 Si 2.23, 1 Ni 2.35
Ni 0.6434 0.1434 0.0000  2 Si 2.23, 1 Ni 2.35
Ni 0.8566 0.6434 0.0000  2 Si 2.23, 1 Ni 2.35
Ag 0.1701 0.6701 0.5000  6 Ni 2.66-2.84, 1 Ag 2.79
Ag 0.3299 0.1701 0.5000  6 Ni 2.66-2.84, 1 Ag 2.79
Ag 0.6701 0.8299 0.5000  6 Ni 2.66-2.84, 1 Ag 2.79
Ag 0.8299 0.3299 0.5000  6 Ni 2.66-2.84, 1 Ag 2.79



(8)
A geometry-optimized Si2Ni2Ag structure, computed with PBE.

Properties
calculated volume = 13.83 Å³ per atom
ρ = 6.8 Mg/m³
N(E_F) = 0.574 states/eV per atom
E = -5.206 eV/atom

Lattice parameters (Å, degrees): 3.5848 3.5848 10.7610 90.00 90.00 90.00
With the nearest neighbours (Å) after each atom.
Fractional coordinates of all 10 atoms:
Si 0.0000 0.5000 0.2500  4 Ni 2.30, 4 Si 2.53
Si 0.0000 0.5000 0.7500  4 Ni 2.30, 4 Si 2.53
Si 0.5000 0.0000 0.2500  4 Ni 2.30, 4 Si 2.53
Si 0.5000 0.0000 0.7500  4 Ni 2.30, 4 Si 2.53
Ni 0.0000 0.0000 0.1165  4 Si 2.30, 1 Ni 2.51
Ni 0.0000 0.0000 0.8835  4 Si 2.30, 1 Ni 2.51
Ni 0.5000 0.5000 0.3835  4 Si 2.30, 1 Ni 2.51
Ni 0.5000 0.5000 0.6165  4 Si 2.30, 1 Ni 2.51
Ag 0.0000 0.0000 0.5000  8 Ni 2.83
Ag 0.5000 0.5000 0.0000  8 Ni 2.83



(9)
A geometry-optimized SiNi2Ag structure, computed with PBE.

Properties
calculated volume = 12.82 Å³ per atom
ρ = 8.2 Mg/m³
N(E_F) = 0.601 states/eV per atom
E = -4.896 eV/atom

Lattice parameters (Å, degrees): 5.8981 5.8981 5.8981 90.00 90.00 90.00
With the nearest neighbours (Å) after each atom.
Fractional coordinates of all 16 atoms:
Si 0.0000 0.0000 0.0000  4 Ag 2.55, 4 Ni 2.55
Si 0.0000 0.5000 0.5000  4 Ag 2.55, 4 Ni 2.55
Si 0.5000 0.0000 0.5000  4 Ag 2.55, 4 Ni 2.55
Si 0.5000 0.5000 0.0000  4 Ag 2.55, 4 Ni 2.55
Ni 0.0000 0.0000 0.5000  4 Ni 2.55, 4 Ag 2.55
Ni 0.0000 0.5000 0.0000  4 Ni 2.55, 4 Ag 2.55
Ni 0.2500 0.2500 0.2500  4 Si 2.55, 4 Ni 2.55
Ni 0.2500 0.7500 0.7500  4 Si 2.55, 4 Ni 2.55
Ni 0.5000 0.0000 0.0000  4 Ni 2.55, 4 Ag 2.55
Ni 0.5000 0.5000 0.5000  4 Ni 2.55, 4 Ag 2.55
Ni 0.7500 0.2500 0.7500  4 Si 2.55, 4 Ni 2.55
Ni 0.7500 0.7500 0.2500  4 Ni 2.55, 4 Si 2.55
Ag 0.2500 0.2500 0.7500  4 Ni 2.55, 4 Si 2.55
Ag 0.2500 0.7500 0.2500  4 Ni 2.55, 4 Si 2.55
Ag 0.7500 0.2500 0.2500  4 Ni 2.55, 4 Si 2.55
Ag 0.7500 0.7500 0.7500  4 Ni 2.55, 4 Si 2.55



(10)
A geometry-optimized SiNi2Ag structure, computed with PBE.

Properties
calculated volume = 13.10 Å³ per atom
ρ = 8.0 Mg/m³
N(E_F) = 0.595 states/eV per atom
E = -5.061 eV/atom

Lattice parameters (Å, degrees): 2.7468 2.7468 24.0651 90.00 90.00 120.00
With the nearest neighbours (Å) after each atom.
Fractional coordinates of all 12 atoms:
Si 0.0000 0.0000 0.0000  6 Ni 2.34
Si 0.3333 0.6667 0.6667  6 Ni 2.34
Si 0.6667 0.3333 0.3333  6 Ni 2.34
Ni 0.0000 0.0000 0.2618  3 Si 2.34
Ni 0.0000 0.0000 0.7382  3 Si 2.34
Ni 0.3333 0.6667 0.4049  3 Si 2.34
Ni 0.3333 0.6667 0.9285  3 Si 2.34
Ni 0.6667 0.3333 0.0715  3 Si 2.34
Ni 0.6667 0.3333 0.5951  3 Si 2.34
Ag 0.0000 0.0000 0.5000  6 Ag 2.75, 6 Ni 2.79
Ag 0.3333 0.6667 0.1667  6 Ag 2.75, 6 Ni 2.79
Ag 0.6667 0.3333 0.8333  6 Ag 2.75, 6 Ni 2.79



(11)
A geometry-optimized SiNi2Ag structure, computed with PBE.

Properties
calculated volume = 12.74 Å³ per atom
ρ = 8.3 Mg/m³
N(E_F) = 0.386 states/eV per atom
E = -5.219 eV/atom

Lattice parameters (Å, degrees): 2.7629 2.7746 6.6477 90.00 90.00 90.00
With the nearest neighbours (Å) after each atom.
Fractional coordinates of all 4 atoms:
Si 0.0000 0.0000 0.0000  8 Ni 2.36
Ni 0.5000 0.5000 0.1990  4 Si 2.36, 1 Ni 2.65
Ni 0.5000 0.5000 0.8010  4 Si 2.36, 1 Ni 2.65
Ag 0.0000 0.0000 0.5000  4 Ag 2.76-2.77, 8 Ni 2.80



(12)
A geometry-optimized Si2Ni2Ag structure, computed with PBE.

Properties
calculated volume = 12.97 Å³ per atom
ρ = 7.2 Mg/m³
N(E_F) = 1.227 states/eV per atom
E = -5.225 eV/atom

Lattice parameters (Å, degrees): 6.9318 6.9318 2.6986 90.00 90.00 90.00
With the nearest neighbours (Å) after each atom.
Fractional coordinates of all 10 atoms:
Si 0.1595 0.3405 0.0000  6 Ni 2.44, 2 Si 2.70
Si 0.3405 0.8405 0.0000  6 Ni 2.44, 2 Si 2.70
Si 0.6595 0.1595 0.0000  6 Ni 2.44, 2 Si 2.70
Si 0.8405 0.6595 0.0000  6 Ni 2.44, 2 Si 2.70
Ni 0.1329 0.6329 0.5000  6 Si 2.44, 3 Ni 2.60-2.70, 2 Ag 2.71
Ni 0.3671 0.1329 0.5000  6 Si 2.44, 3 Ni 2.60-2.70, 2 Ag 2.71
Ni 0.6329 0.8671 0.5000  6 Si 2.44, 3 Ni 2.60-2.70, 2 Ag 2.71
Ni 0.8671 0.3671 0.5000  6 Si 2.44, 3 Ni 2.60-2.70, 2 Ag 2.71
Ag 0.0000 0.0000 0.5000  2 Ag 2.70, 4 Ni 2.71, 8 Si 2.94
Ag 0.5000 0.5000 0.5000  2 Ag 2.70, 4 Ni 2.71, 8 Si 2.94